[1]
ScTa2Hg | GGA-PBE | relaxed

Calculated values
V = 20.1 Å³ per atom
ρ = 12.557 g/cm3
ΔE_f = 0.05 eV per atom
SG = No. 99
Uncorrected energy = -7.5396 eV/atom

Structure (POSCAR):
```
ScTa2Hg
1.0
3.4852 0.0000 0.0000
0.0000 3.4852 0.0000
0.0000 0.0000 6.6133
Sc Ta Hg
1 2 1
Direct
0.0000 0.0000 0.0000 Sc
0.0000 0.0000 0.4629 Ta
0.5000 0.5000 0.2699 Ta
0.5000 0.5000 0.7422 Hg
```

---

[2]
Cs2LaTeBr6 | GGA-PBE | relaxed

Calculated values
V = 48.2 Å³ per atom
ρ = 3.486 g/cm3
SG = No. 139
Uncorrected energy = -3.3665 eV/atom
Formation energy from raw total energies = -1336 kJ/mol of formula units

Structure (POSCAR):
```
Cs2LaTeBr6
1.0
-4.5993 4.5993 5.6955
4.5993 -4.5993 5.6955
4.5993 4.5993 -5.6955
Cs La Te Br
2 1 1 6
Direct
0.2500 0.7500 0.5000 Cs
0.7500 0.2500 0.5000 Cs
0.0000 0.0000 0.0000 La
0.5000 0.5000 0.0000 Te
0.2232 0.2232 0.4463 Br
0.2232 0.7768 0.0000 Br
0.2607 0.2607 0.0000 Br
0.7393 0.7393 0.0000 Br
0.7768 0.2232 0.0000 Br
0.7768 0.7768 0.5537 Br
```

---

> Which of these has the lowest uncorrected energy?

ScTa2Hg

---

> uncorrected energy of number 1 (ScTa2Hg)?

-7.5396 eV/atom

---

> Among the records above, which one has the highest uncorrected energy?

Cs2LaTeBr6

---

> ρ of number 2 (Cs2LaTeBr6)?

3.486 g/cm3